1.
This record from Alexandria describes crystalline LaAlSi2Pd at its relaxed geometry. The functional is PBE.

The calculation puts the size of the total moment at 0.000 μB/atom. Its density of states at the Fermi level is 0.42 states/eV per atom. As for the final energy: -5.7043 eV per atom. The volume is 92.43 Å³/f.u. As for the uncorrected formation energy: -73.6 kJ per mole of atoms.

The structure belongs to space group I-4m2 (No. 119); the cell edges are 4.1856, 4.1856 and 10.5521 Å and the angles 90.00°, 90.00° and 90.00°. Symmetry generates all atoms from La at (0.0000, 0.0000, 0.0000), Al at (0.0000, 0.5000, 0.2500), Si at (0.0000, 0.0000, 0.3863) and Pd at (0.0000, 0.5000, 0.7500).

=====

2.
This record from Alexandria describes crystalline LaAl2SiPd at its relaxed geometry. The functional is PBE.

The calculation puts the size of the total moment at 0.000 μB/atom. Its density of states at the Fermi level is 0.21 states/eV per atom. As for the final energy: -5.3584 eV per atom. The volume is 96.68 Å³/f.u. As for the uncorrected formation energy: -72.6 kJ per mole of atoms.

The structure belongs to space group Imm2 (No. 44); the cell edges are 4.1181, 4.2812 and 10.9671 Å and the angles 90.00°, 90.00° and 90.00°. Symmetry generates all atoms from La at (0.0000, 0.0000, 0.0000), Al at (0.0000, 0.0000, 0.3808), Al at (0.0000, 0.5000, 0.2457), Si at (0.0000, 0.0000, 0.6103) and Pd at (0.0000, 0.5000, 0.7410).

=====

3.
This record from Alexandria describes crystalline La3Al2Si2Pd4 at its relaxed geometry. The functional is PBE.

The calculation puts the size of the total moment at 0.000 μB/atom. Its density of states at the Fermi level is 0.47 states/eV per atom. As for the final energy: -5.7096 eV per atom. The volume is 242.83 Å³/f.u. As for the uncorrected formation energy: -78.3 kJ per mole of atoms.

The structure belongs to space group P-3m1 (No. 164); the cell edges are 4.3582, 4.3582 and 14.7621 Å and the angles 90.00°, 90.00° and 120.00°. Symmetry generates all atoms from La at (0.0000, 0.0000, 0.0000), La at (0.0000, 0.0000, 0.2712), Al at (0.3333, 0.6667, 0.5580), Si at (0.3333, 0.6667, 0.1453), Pd at (0.3333, 0.6667, 0.3904) and Pd at (0.3333, 0.6667, 0.8649).

=====

4.
This record from Alexandria describes crystalline La2Al4SiPd3 at its relaxed geometry. The functional is PBE.

The calculation puts the size of the total moment at 0.000 μB/atom. Its density of states at the Fermi level is 0.81 states/eV per atom. As for the final energy: -5.3680 eV per atom. The volume is 198.33 Å³/f.u. As for the uncorrected formation energy: -75.8 kJ per mole of atoms.

The structure belongs to space group P-4m2 (No. 115); the cell edges are 4.3875, 4.3875 and 10.3025 Å and the angles 90.00°, 90.00° and 90.00°. Symmetry generates all atoms from La at (0.0000, 0.5000, 0.2458), Al at (0.0000, 0.0000, 0.5000), Al at (0.0000, 0.5000, 0.8679), Al at (0.5000, 0.5000, 0.5000), Si at (0.5000, 0.5000, 0.0000), Pd at (0.0000, 0.0000, 0.0000) and Pd at (0.0000, 0.5000, 0.6269).

=====

5.
This record from Alexandria describes crystalline LaAl2SiPd4 at its relaxed geometry. The functional is PBE.

The calculation puts the size of the total moment at 0.000 μB/atom. Its density of states at the Fermi level is 0.53 states/eV per atom. As for the final energy: -5.5918 eV per atom. The volume is 143.11 Å³/f.u. As for the uncorrected formation energy: -73.9 kJ per mole of atoms.

The structure belongs to space group R-3m (No. 166, hexagonal axes); the cell edges are 4.2995, 4.2995 and 26.8175 Å and the angles 90.00°, 90.00° and 120.00°. Symmetry generates all atoms from La at (0.0000, 0.0000, 0.0000), Al at (0.0000, 0.0000, 0.2400), Si at (0.0000, 0.0000, 0.5000), Pd at (0.0000, 0.0000, 0.1382) and Pd at (0.0000, 0.0000, 0.4086).

=====

6.
This record from Alexandria describes crystalline LaAlSiPd6 at its relaxed geometry. The functional is PBE.

The calculation puts the size of the total moment at 0.000 μB/atom. Its density of states at the Fermi level is 0.31 states/eV per atom. As for the final energy: -5.5149 eV per atom. The volume is 171.27 Å³/f.u. As for the uncorrected formation energy: -47.0 kJ per mole of atoms.

The structure belongs to space group Imma (No. 74); the cell edges are 6.5893, 9.1867 and 11.3174 Å and the angles 90.00°, 90.00° and 90.00°. Symmetry generates all atoms from La at (0.0000, 0.2500, 0.1717), Al at (0.2500, 0.2500, 0.7500), Si at (0.0000, 0.0000, 0.5000), Pd at (0.0000, 0.2500, 0.4371), Pd at (0.0000, 0.2500, 0.9120) and Pd at (0.2306, 0.0102, 0.8713).

=====

7.
This record from Alexandria describes crystalline La2AlSiPd6 at its relaxed geometry. The functional is PBE.

The calculation puts the size of the total moment at 0.000 μB/atom. Its density of states at the Fermi level is 0.39 states/eV per atom. As for the final energy: -5.7740 eV per atom. The volume is 206.38 Å³/f.u. As for the uncorrected formation energy: -73.0 kJ per mole of atoms.

The structure belongs to space group P-1 (No. 2); the cell edges are 6.3103, 6.4809 and 6.5135 Å and the angles 61.92°, 65.60° and 65.95°. Symmetry generates all atoms from La at (0.1769, 0.2749, 0.2687), Al at (0.0000, 0.0000, 0.0000), Si at (0.5000, 0.5000, 0.5000), Pd at (0.2920, 0.7329, 0.7535), Pd at (0.3554, 0.7343, 0.1495) and Pd at (0.3556, 0.1476, 0.7146).

=====

8.
This record from Alexandria describes crystalline LaSmAlPd at its relaxed geometry. The functional is PBE.

The calculation puts the size of the total moment at 0.000 μB/atom. Its density of states at the Fermi level is 0.95 states/eV per atom. The energy of formation is -185 kJ/mol of formula units. As for the final energy: -5.1242 eV per atom. The volume is 102.21 Å³/f.u.

The structure belongs to space group F-43m (No. 216); the cell edges are 7.4220, 7.4220 and 7.4220 Å and the angles 90.00°, 90.00° and 90.00°. Symmetry generates all atoms from La at (0.0000, 0.0000, 0.0000), Sm at (0.0000, 0.0000, 0.5000), Al at (0.2500, 0.2500, 0.2500) and Pd at (0.2500, 0.2500, 0.7500).